Model P:
Material: CrCuC3
Method: DFT, PBE
State: relaxed

abc: 3.786 3.786 3.786
angles: 90.00 90.00 90.00
Positions (direct):
Cr 0.000 0.000 0.000
Cu 0.500 0.500 0.500
C 0.000 0.000 0.500
C 0.000 0.500 0.000
C 0.500 0.000 0.000

## Properties
SG: Pm-3m, No. 221

Model Q:
Material: CrCuC3
Method: DFT, PBE
State: relaxed

abc: 3.729 3.729 3.729
angles: 90.00 90.00 90.00
Positions (direct):
Cr 0.000 0.000 0.000
Cu 0.500 0.500 0.500
C 0.000 0.500 0.500
C 0.500 0.000 0.500
C 0.500 0.500 0.000

## Properties
SG: Pm-3m, No. 221

Most favorable first, least favorable last: model P, model Q

Model P:
Material: CrCuC
Method: DFT, PBE
State: relaxed

abc: 2.977 2.977 12.465
angles: 90.00 90.00 120.00
Positions (direct):
Cr 0.000 0.000 0.000
Cr 0.333 0.667 0.667
Cr 0.667 0.333 0.333
Cu 0.000 0.000 0.498
Cu 0.333 0.667 0.165
Cu 0.667 0.333 0.832
C 0.000 0.000 0.731
C 0.333 0.667 0.398
C 0.667 0.333 0.065

## Properties
SG: R3m, No. 160

Model Q:
Material: CrCuC
Method: DFT, PBE
State: relaxed

abc: 2.724 2.724 8.791
angles: 90.00 90.00 90.00
Positions (direct):
Cr 0.250 0.250 0.105
Cr 0.750 0.750 0.895
Cu 0.250 0.250 0.407
Cu 0.750 0.750 0.593
C 0.250 0.250 0.860
C 0.750 0.750 0.140

## Properties
SG: P4/nmm, No. 129

Model R:
Material: CrCuC
Method: DFT, PBE
State: relaxed

abc: 2.951 2.951 4.229
angles: 90.00 90.00 120.00
Positions (direct):
Cr 0.000 0.000 0.000
Cu 0.333 0.667 0.494
C 0.667 0.333 0.202

## Properties
SG: P3m1, No. 156

Model S:
Material: CrCuC
Method: DFT, PBE
State: relaxed

abc: 2.727 2.701 8.110
angles: 90.00 90.00 90.00
Positions (direct):
Cr 0.000 0.000 0.000
Cr 0.000 0.500 0.500
Cu 0.500 0.000 0.271
Cu 0.500 0.500 0.771
C 0.500 0.000 0.557
C 0.500 0.500 0.057

## Properties
SG: Amm2, No. 38

Most favorable first, least favorable last: model S, model Q, model P, model R

Model P:
Material: CrCuC
Method: DFT, PBE
State: relaxed

abc: 3.946 3.268 5.705
angles: 90.00 90.00 90.00
Positions (direct):
Cr 0.000 0.000 0.000
Cr 0.000 0.500 0.500
Cu 0.500 0.000 0.667
Cu 0.500 0.500 0.167
C 0.000 0.000 0.668
C 0.000 0.500 0.168

## Properties
SG: Amm2, No. 38

Model Q:
Material: CrCuC
Method: DFT, PBE
State: relaxed

abc: 2.795 2.795 4.003
angles: 90.00 90.00 90.00
Positions (direct):
Cr 0.000 0.000 0.000
Cu 0.500 0.500 0.500
C 0.500 0.500 0.000

## Properties
SG: P4/mmm, No. 123

Most favorable first, least favorable last: model Q, model P

Model P:
Material: CrCuC2
Method: DFT, PBE
State: relaxed

abc: 4.495 4.495 8.718
angles: 90.00 90.00 90.00
Positions (direct):
Cr 0.000 0.000 0.000
Cr 0.000 0.500 0.250
Cr 0.500 0.000 0.750
Cr 0.500 0.500 0.500
Cu 0.000 0.000 0.500
Cu 0.000 0.500 0.750
Cu 0.500 0.000 0.250
Cu 0.500 0.500 0.000
C 0.220 0.250 0.125
C 0.250 0.720 0.375
C 0.250 0.780 0.875
C 0.280 0.250 0.625
C 0.720 0.750 0.625
C 0.750 0.220 0.875
C 0.750 0.280 0.375
C 0.780 0.750 0.125

## Properties
SG: I-42d, No. 122

Model Q:
Material: CrCuC2
Method: DFT, PBE
State: relaxed

abc: 5.160 5.160 5.160
angles: 90.00 90.00 90.00
Positions (direct):
Cr 0.000 0.000 0.000
Cr 0.000 0.500 0.500
Cr 0.500 0.000 0.500
Cr 0.500 0.500 0.000
Cu 0.000 0.000 0.500
Cu 0.000 0.500 0.000
Cu 0.500 0.000 0.000
Cu 0.500 0.500 0.500
C 0.250 0.250 0.250
C 0.250 0.250 0.750
C 0.250 0.750 0.250
C 0.250 0.750 0.750
C 0.750 0.250 0.250
C 0.750 0.250 0.750
C 0.750 0.750 0.250
C 0.750 0.750 0.750

## Properties
SG: Fm-3m, No. 225

Most favorable first, least favorable last: model P, model Q